Run w
VASP calculation (PBE) on a relaxed structure of Tm2Cu3Au.

**Crystal system**: orthorhombic
**D(E_F)**: 0.59 states/eV/atom

a = 6.9334 Å, b = 8.6354 Å, c = 15.0727 Å
α = 90.00°, β = 90.00°, γ = 90.00°
Space group Fmmm (No. 69)
One atom of each set of equivalent atoms:
Tm  0.2482  0.0000  0.0000 x8
Tm  0.2500  0.2500  0.2500 x8
Cu  0.0000  0.0000  0.1613 x8
Cu  0.0000  0.2418  0.0804 x16
Au  0.0000  0.0000  0.3331 x8


Run x
VASP calculation (PBE) on a relaxed structure of Tm2Cu3Au.

**Crystal system**: hexagonal
**D(E_F)**: 0.38 states/eV/atom

a = 8.7111 Å, b = 8.7111 Å, c = 6.8272 Å
α = 90.00°, β = 90.00°, γ = 120.00°
Space group P6_3/mmc (No. 194)
One atom of each set of equivalent atoms:
Tm  0.0000  0.0000  0.2500 x2
Tm  0.0235  0.5118  0.2500 x6
Cu  0.1613  0.3227  0.5125 x12
Au  0.3333  0.6667  0.5268 x4


What should be chosen as the most stable of them? Choose run x.


Run w
VASP calculation (PBE) on a relaxed structure of Tm12Cu6Au.

**Crystal system**: trigonal
**D(E_F)**: 0.98 states/eV/atom

a = 13.6166 Å, b = 13.6166 Å, c = 8.5687 Å
α = 90.00°, β = 90.00°, γ = 120.00°
Space group R-3 (No. 148, hexagonal axes)
One atom of each set of equivalent atoms:
Tm  0.0392  0.8656  0.3333 x18
Tm  0.0629  0.8131  0.9410 x18
Cu  0.0417  0.7780  0.6196 x18
Au  0.0000  0.0000  0.0000 x3


Run x
VASP calculation (PBE) on a relaxed structure of Tm12Cu6Au.

**Crystal system**: cubic
**D(E_F)**: 0.85 states/eV/atom

a = 9.6064 Å, b = 9.6064 Å, c = 9.6064 Å
α = 90.00°, β = 90.00°, γ = 90.00°
Space group Im-3 (No. 204)
One atom of each set of equivalent atoms:
Tm  0.0000  0.1874  0.2907 x24
Cu  0.0000  0.3734  0.5000 x12
Au  0.0000  0.0000  0.0000 x2


What should be chosen as the most stable of them? Choose run x.


Run w
VASP calculation (PBE) on a relaxed structure of UCuAu2.

**Crystal system**: trigonal
**D(E_F)**: 1.53 states/eV/atom

a = 4.5047 Å, b = 4.5047 Å, c = 13.8189 Å
α = 90.00°, β = 90.00°, γ = 120.00°
Space group R-3m (No. 166, hexagonal axes)
One atom of each set of equivalent atoms:
U  0.0000  0.0000  0.0000 x3
Cu  0.0000  0.0000  0.5000 x3
Au  0.0000  0.0000  0.2253 x6


Run x
VASP calculation (PBE) on a relaxed structure of UCuAu2.

**Crystal system**: tetragonal
**D(E_F)**: 1.80 states/eV/atom

a = 3.1879 Å, b = 3.1879 Å, c = 7.3082 Å
α = 90.00°, β = 90.00°, γ = 90.00°
Space group P4/mmm (No. 123)
One atom of each set of equivalent atoms:
U  0.0000  0.0000  0.0000 x1
Cu  0.0000  0.0000  0.5000 x1
Au  0.5000  0.5000  0.2922 x2


What should be chosen as the most stable of them? Choose run x.


Run w
VASP calculation (PBE) on a relaxed structure of VCu2Au.

**Crystal system**: tetragonal
**D(E_F)**: 1.16 states/eV/atom

a = 6.9521 Å, b = 6.9521 Å, c = 5.2696 Å
α = 90.00°, β = 90.00°, γ = 90.00°
Space group I-42d (No. 122)
One atom of each set of equivalent atoms:
V  0.0000  0.0000  0.0000 x4
Cu  0.2471  0.2500  0.1250 x8
Au  0.0000  0.0000  0.5000 x4


Run x
VASP calculation (PBE) on a relaxed structure of VCu2Au.

**Crystal system**: cubic
**D(E_F)**: 0.43 states/eV/atom

a = 6.0429 Å, b = 6.0429 Å, c = 6.0429 Å
α = 90.00°, β = 90.00°, γ = 90.00°
Space group Fm-3m (No. 225)
One atom of each set of equivalent atoms:
V  0.0000  0.0000  0.0000 x4
Cu  0.2500  0.2500  0.2500 x8
Au  0.0000  0.0000  0.5000 x4


Run y
VASP calculation (PBE) on a relaxed structure of VCu2Au.

**Crystal system**: trigonal
**D(E_F)**: 0.41 states/eV/atom

a = 2.6753 Å, b = 2.6753 Å, c = 28.8758 Å
α = 90.00°, β = 90.00°, γ = 120.00°
Space group R-3m (No. 166, hexagonal axes)
One atom of each set of equivalent atoms:
V  0.0000  0.0000  0.0000 x3
Cu  0.0000  0.0000  0.0837 x6
Au  0.0000  0.0000  0.5000 x3


What should be chosen as the most stable of them? Choose run x.


Run w
VASP calculation (PBE) on a relaxed structure of VCu2Au.

**Crystal system**: tetragonal
**D(E_F)**: 0.57 states/eV/atom

a = 3.1073 Å, b = 3.1073 Å, c = 5.8623 Å
α = 90.00°, β = 90.00°, γ = 90.00°
Space group P4/mmm (No. 123)
One atom of each set of equivalent atoms:
V  0.0000  0.0000  0.0000 x1
Cu  0.5000  0.5000  0.2333 x2
Au  0.0000  0.0000  0.5000 x1


Run x
VASP calculation (PBE) on a relaxed structure of VCu2Au.

**Crystal system**: tetragonal
**D(E_F)**: 0.84 states/eV/atom

a = 3.9290 Å, b = 3.9290 Å, c = 3.7732 Å
α = 90.00°, β = 90.00°, γ = 90.00°
Space group P4/mmm (No. 123)
One atom of each set of equivalent atoms:
V  0.0000  0.0000  0.0000 x1
Cu  0.0000  0.5000  0.5000 x2
Au  0.5000  0.5000  0.0000 x1


What should be chosen as the most stable of them? Choose run w.


Run w
VASP calculation (PBE) on a relaxed structure of VCuAu4.

**Crystal system**: orthorhombic
**D(E_F)**: 1.03 states/eV/atom

a = 5.5509 Å, b = 9.1478 Å, c = 4.6115 Å
α = 90.00°, β = 90.00°, γ = 90.00°
Space group Cmmm (No. 65)
One atom of each set of equivalent atoms:
V  0.0000  0.0000  0.0000 x2
Cu  0.0000  0.5000  0.0000 x2
Au  0.2503  0.0000  0.5000 x4
Au  0.2500  0.2500  0.0000 x4


Run x
VASP calculation (PBE) on a relaxed structure of VCuAu4.

**Crystal system**: monoclinic
**D(E_F)**: 0.83 states/eV/atom

a = 9.1235 Å, b = 2.8372 Å, c = 8.9417 Å
α = 90.00°, β = 117.33°, γ = 90.00°
Space group C2/m (No. 12)
One atom of each set of equivalent atoms:
V  0.0000  0.0000  0.0000 x2
Cu  0.0000  0.5000  0.5000 x2
Au  0.1453  0.0000  0.3458 x4
Au  0.2025  0.0000  0.8349 x4


What should be chosen as the most stable of them? Choose run x.